A plane-wave DFT calculation with PBE was carried out for BaCa2 after structural relaxation.

```
BaCa2
1.0
7.9052 0.0121 -0.0040
6.8613 3.9263 -0.0040
2.4991 0.6665 9.3981
Ba Ca
2 4
Cartesian
2.5313 0.6751 9.3335
5.7269 1.5274 3.1933
11.5147 3.0711 6.2470
9.7124 2.5904 2.6651
15.5463 4.1464 5.7645
6.3867 1.7034 8.8001
```

Calculated values
As for the space group: Cm, No. 8. Its energy above the lowest structure with this stoichiometry is 30.5 meV/atom. As for the calculated total energy: -1.924 eV per atom.